[1]
Here is Co2AgSb after structural relaxation from Alexandria. Energies are from PBE-GGA.

```
4
Lattice="-1.167 2.251 -3.510 -4.169 -0.642 0.974 -0.010 2.676 1.719" Properties=species:S:1:pos:R:3 pbc="T T T"
Sb -0.588 2.463 -0.895
Co 0.000 0.000 0.000
Co -2.668 0.805 -1.268
Ag -2.089 1.017 1.347
```

Values from the calculation:
Energy = -5.002 eV/atom
Fermi-level density of states = 5.0 states/eV/cell
Energy relative to the elements, uncorrected = 294 meV/atom


[2]
Here is SrCaAcZn after structural relaxation from Alexandria. Energies are from PBE-GGA.

```
4
Lattice="3.926 0.000 0.000 0.000 3.926 0.000 0.000 0.000 9.855" Properties=species:S:1:pos:R:3 pbc="T T T"
Ac 1.963 1.963 3.713
Sr 1.963 1.963 7.522
Zn 0.000 0.000 5.570
Ca 0.000 0.000 0.784
```

Values from the calculation:
Energy = -2.368 eV/atom
Fermi-level density of states = 3.6 states/eV/cell
Formation enthalpy at 0 K = -2.35 kcal/mol of atoms


[3]
Here is PmNdRuPb after structural relaxation from Alexandria. Energies are from PBE-GGA.

```
4
Lattice="5.269 0.000 0.000 2.634 4.563 0.000 2.634 1.521 4.302" Properties=species:S:1:pos:R:3 pbc="T T T"
Pb 0.000 0.000 0.000
Ru 5.269 3.042 2.151
Nd 2.634 1.521 1.075
Pm 7.903 4.563 3.226
```

Values from the calculation:
Energy = -5.799 eV/atom
Fermi-level density of states = 2.4 states/eV/cell
Formation enthalpy at 0 K = -4.01 kcal/mol of atoms


[4]
Here is Pm2AgRh2 after structural relaxation from Alexandria. Energies are from PBE-GGA.

```
10
Lattice="3.887 0.000 0.000 0.000 7.503 0.000 0.000 0.000 7.503" Properties=species:S:1:pos:R:3 pbc="T T T"
Pm 1.943 2.472 1.280
Pm 1.943 1.280 5.031
Pm 1.943 5.031 6.223
Pm 1.943 6.223 2.472
Ag 0.000 3.751 3.751
Ag 0.000 0.000 0.000
Rh 0.000 2.759 6.511
Rh 0.000 6.511 4.743
Rh 0.000 4.743 0.992
Rh 0.000 0.992 2.759
```

Values from the calculation:
Energy = -5.987 eV/atom
Fermi-level density of states = 4.9 states/eV/cell
Energy relative to the lowest polymorph listed for this composition = 0.7 kJ/mol of atoms
Formation enthalpy at 0 K = -13.28 kcal/mol of atoms


[5]
Here is Sm5ScTe6 after structural relaxation from Alexandria. Energies are from PBE-GGA.

```
12
Lattice="-6.028 4.443 1.410 2.424 -4.949 5.263 5.555 5.207 0.508" Properties=species:S:1:pos:R:3 pbc="T T T"
Te 3.320 3.786 1.944
Te 2.826 2.082 6.085
Te -0.875 2.619 1.095
Te 1.816 -0.371 2.322
Te -1.369 0.916 5.236
Te 0.135 5.073 4.859
Sm -3.203 1.304 2.697
Sm -1.741 5.370 2.352
Sm 3.692 -0.668 4.829
Sm -0.401 -1.810 3.975
Sm 0.976 2.351 3.590
Sc 0.000 0.000 0.000
```

Values from the calculation:
Energy = -5.395 eV/atom
Fermi-level density of states = 6.6 states/eV/cell
Energy relative to the elements, uncorrected = -1331 meV/atom


[6]
Here is CdB2Rh4 after structural relaxation from Alexandria. Energies are from PBE-GGA.

```
14
Lattice="4.908 1.111 -2.018 -1.863 4.674 -2.019 0.090 0.170 7.624" Properties=species:S:1:pos:R:3 pbc="T T T"
Rh 1.858 1.452 5.311
Rh 0.514 3.056 -0.715
Rh 3.965 1.346 3.098
Rh 0.924 3.860 4.301
Rh 3.017 3.725 2.033
Rh 4.309 1.974 0.491
Rh 3.012 3.620 -1.783
Rh 1.794 1.378 1.497
Cd -0.140 3.847 1.807
Cd 3.035 5.763 -4.022
B 2.422 2.301 -0.296
B -0.077 2.156 4.935
B 1.610 4.857 -0.894
B 2.258 2.487 3.513
```

Values from the calculation:
Energy = -6.334 eV/atom
Fermi-level density of states = 7.8 states/eV/cell
Formation enthalpy at 0 K = -2.18 kcal/mol of atoms


[7]
Here is TaMnSi2 after structural relaxation from Alexandria. Energies are from PBE-GGA.

```
4
Lattice="-0.228 0.134 4.130 2.440 -1.660 0.188 3.756 2.905 0.113" Properties=species:S:1:pos:R:3 pbc="T T T"
Si 4.073 2.389 0.147
Si 1.071 0.827 2.105
Mn 4.961 1.302 2.305
Ta 2.716 0.387 0.137
```

Values from the calculation:
Energy = -8.145 eV/atom
Fermi-level density of states = 1.5 states/eV/cell
Energy relative to the elements, uncorrected = -178 meV/atom


[8]
Here is Cs3K4Cd2 after structural relaxation from Alexandria. Energies are from PBE-GGA.

```
18
Lattice="-3.380 -9.229 1.473 5.584 -0.035 12.591 -5.746 1.036 10.085" Properties=species:S:1:pos:R:3 pbc="T T T"
K -2.481 -3.728 7.337
K -1.062 -4.500 16.812
K -4.767 -5.277 13.384
K -0.325 0.121 13.925
K 1.224 -2.951 10.765
K -3.269 -7.548 5.180
K -3.218 -8.349 10.223
K -0.273 -0.680 18.969
Cd -2.146 -0.255 6.075
Cd -1.396 -7.974 18.074
Cd -2.050 -4.880 10.839
Cd -1.492 -3.348 13.310
Cs 0.676 -6.942 8.345
Cs 2.916 -2.590 15.308
Cs -3.627 -1.031 10.680
Cs -4.218 -1.286 15.804
Cs 0.084 -7.197 13.469
Cs -6.459 -5.639 8.841
```

Values from the calculation:
Energy = -0.993 eV/atom
Fermi-level density of states = 12.5 states/eV/cell
Formation enthalpy at 0 K = -0.40 kcal/mol of atoms